The following is a DFT calculation (PBE) of crystalline TbPmSnBi at its relaxed geometry.

Lattice parameters (Å, degrees): 5.5068 5.5068 5.5068 60.00 60.00 60.00
Last column: nearest neighbours and their distance in Å.
Positions (direct):
Tb (0.0000, 0.0000, 0.0000)  4 Bi 3.37, 4 Sn 3.37
Bi (0.7500, 0.7500, 0.7500)  4 Pm 3.37, 4 Tb 3.37
Sn (0.2500, 0.2500, 0.2500)  4 Tb 3.37, 4 Pm 3.37
Pm (0.5000, 0.5000, 0.5000)  4 Sn 3.37, 4 Bi 3.37

Output
The crystal system is cubic. The calculation puts the energy relative to the elements at -0.565 eV per atom. The electronic total energy comes out at -4.88 eV per atom. The value obtained for the size of the total moment is 0.00 μB per formula unit.